# NaCaP3 | Alexandria | GGA-PBEsol | relaxed
# magnetization: 0.0 μB/cell
data_NaCaP3
_cell_length_a 4.7991
_cell_length_b 4.7991
_cell_length_c 4.7991
_cell_angle_alpha 90.00
_cell_angle_beta 90.00
_cell_angle_gamma 90.00
_space_group_name_H-M_alt 'P 1'
_space_group_IT_number 1
_space_group_name_Hall 'P 1'
loop_
_atom_site_label
_atom_site_fract_x
_atom_site_fract_y
_atom_site_fract_z
Na1 0.0000 0.0000 0.0000
P1 0.5000 0.0000 0.0000
P2 0.0000 0.5000 0.0000
P3 0.0000 0.0000 0.5000
Ca1 0.5000 0.5000 0.5000

---

# NaCa3P | Alexandria | GGA-PBEsol | relaxed
# relative energy among the computed polymorphs: 0.0000 eV/atom
# magnetization: 0.0 μB/cell
data_NaCa3P
_cell_length_a 7.0638
_cell_length_b 10.4156
_cell_length_c 10.4156
_cell_angle_alpha 96.63
_cell_angle_beta 104.10
_cell_angle_gamma 104.10
_space_group_name_H-M_alt 'P 1'
_space_group_IT_number 1
_space_group_name_Hall 'P 1'
loop_
_atom_site_label
_atom_site_fract_x
_atom_site_fract_y
_atom_site_fract_z
Ca1 0.5015 0.1942 0.5534
Ca2 0.9926 0.0724 0.6842
Ca3 0.9985 0.4466 0.8058
Ca4 0.0041 0.1828 0.0520
Ca5 0.4926 0.6842 0.0724
P1 0.7500 0.1992 0.8008
Ca6 0.5074 0.3158 0.9276
Ca7 0.4985 0.8058 0.4466
P2 0.2500 0.8008 0.1992
P3 0.2500 0.0682 0.9318
Na1 0.0174 0.3099 0.4347
P4 0.7500 0.9318 0.0682
Ca8 0.5041 0.0520 0.1828
Na2 0.4826 0.5653 0.6901
Ca9 0.0074 0.9276 0.3158
Ca10 0.4959 0.9480 0.8172
Na3 0.9826 0.6901 0.5653
Na4 0.5174 0.4347 0.3099
Ca11 0.0015 0.5534 0.1942
Ca12 0.9959 0.8172 0.9480

---

| no. | DFT formation energy (kJ/mol of formula units) |
| --- | --- |
| 1 | 291 |
| 2 | -236 |